[1]
Computed, not measured: crystalline LiDy2Hf3N6 at its relaxed geometry at the GGA-PBE level of DFT.

Unit cell a=14.3498 b=3.2740 c=6.6586 alpha=90.00 beta=104.87 gamma=90.00
Space group C2/m (No. 12)
Unique sites:
Li 0.0000 0.0000 0.0000 (multiplicity 2)
Dy 0.1614 0.5000 0.3217 (multiplicity 4)
Hf 0.0000 0.0000 0.5000 (multiplicity 2)
Hf 0.1609 0.5000 0.8354 (multiplicity 4)
N 0.0066 0.5000 0.7283 (multiplicity 4)
N 0.1618 0.0000 0.5952 (multiplicity 4)
N 0.1715 0.0000 0.0674 (multiplicity 4)

Results
Energy relative to the elements, uncorrected ... -1.675 eV per atom

---

[2]
Computed, not measured: crystalline AcTl2Hg at its relaxed geometry at the GGA-PBE level of DFT.

Unit cell a=5.1490 b=5.1490 c=18.3938 alpha=90.00 beta=90.00 gamma=90.00
Space group I4/mmm (No. 139)
Unique sites:
Ac 0.0000 0.0000 0.1324 (multiplicity 4)
Tl 0.0000 0.0000 0.3650 (multiplicity 4)
Tl 0.0000 0.5000 0.0000 (multiplicity 4)
Hg 0.0000 0.5000 0.2500 (multiplicity 4)

Results
E_tot ... -2.63 eV per atom

---

[3]
Computed, not measured: crystalline NaPm2Lu at its relaxed geometry at the GGA-PBE level of DFT.

Unit cell a=3.5301 b=3.5301 c=38.2615 alpha=90.00 beta=90.00 gamma=120.00
Space group R-3m (No. 166, hexagonal axes)
Unique sites:
Na 0.0000 0.0000 0.0000 (multiplicity 3)
Pm 0.0000 0.0000 0.0929 (multiplicity 6)
Lu 0.0000 0.0000 0.5000 (multiplicity 3)

Results
E_tot ... -3.70 eV per atom